VASP calculation (PBE) on KSrMn2 after structural relaxation.

Cell lengths 5.9283, 5.9283, 7.9898 Å; angles 73.89, 73.89, 34.18 degrees
With the nearest neighbours (Å) after each atom.
Fractional coordinates of all 4 atoms:
1 Mn 0.9906 0.9906 0.8819  2 Mn 2.70
2 K 0.2500 0.2500 0.2500  2 K 3.48, 4 Mn 3.80
3 Mn 0.5094 0.5094 0.6181  2 Mn 2.70
4 Sr 0.7500 0.7500 0.7500  6 Mn 3.20-3.31, 2 Sr 3.48

As for the spin magnetization: 7.753 μB per cell. The value obtained for the energy above the most stable polymorph in this dataset is 203 meV per atom. For the formation enthalpy at 0 K, the calculation gives 0.895 eV/atom.